No. 1
This record from Alexandria describes a relaxed structure of NaReTc2O8. The functional is PBE.

Computed properties:
For the total energy, the calculation gives -7.67 eV/atom. Its space group is Cmmm (65). Its calculated density is 6.3 Mg/m³. Its formation energy (no corrections) is -1.491 eV per atom.

```
NaReTc2O8
1.0
-0.134 3.172 3.658
-4.374 -1.489 1.451
2.558 -4.023 3.583
Na Re Tc O
1 1 2 8
Direct
0.000 0.000 0.500
0.000 0.000 0.000
0.500 0.500 0.763
0.500 0.500 0.237
0.213 0.787 0.210
0.718 0.718 0.000
0.787 0.213 0.210
0.787 0.213 0.790
0.282 0.282 0.000
0.213 0.787 0.790
0.668 0.668 0.500
0.332 0.332 0.500
```

***

No. 2
This record from Alexandria describes a relaxed structure of Pu2NiAu. The functional is PBE.

Computed properties:
As for the formation energy: -0.3 eV per formula unit. For the total energy, the calculation gives -9.49 eV/atom. Its space group is R-3m (166). Its calculated density is 13.0 Mg/m³.

```
Pu2NiAu
1.0
3.832 0.000 0.000
1.916 3.318 0.000
1.916 1.106 7.486
Ni Au Pu
1 1 2
Direct
0.000 0.000 0.000
0.500 0.500 0.500
0.261 0.261 0.217
0.739 0.739 0.783
```

***

No. 3
This record from Alexandria describes a relaxed structure of CaCe6Se8. The functional is PBE.

Computed properties:
For the total energy, the calculation gives -6.20 eV/atom. Its space group is Fm-3m (225). Its calculated density is 6.0 Mg/m³. Its formation energy (no corrections) is -1.833 eV per atom.

```
CaCe6Se8
1.0
-6.966 -3.181 3.451
-0.493 -8.222 1.649
0.110 -2.702 7.953
Ca Ce Se
1 6 8
Direct
0.000 0.000 0.000
0.000 0.500 0.500
0.500 0.000 0.000
0.500 0.500 0.000
0.000 0.000 0.500
0.000 0.500 0.000
0.500 0.000 0.500
0.750 0.750 0.750
0.250 0.250 0.250
0.751 0.249 0.249
0.249 0.751 0.751
0.249 0.249 0.751
0.751 0.751 0.249
0.751 0.249 0.751
0.249 0.751 0.249
```

***

No. 4
This record from Alexandria describes a relaxed structure of Th4OsAu3. The functional is PBE.

Computed properties:
As for the formation energy: -4.2 eV per formula unit. For the total energy, the calculation gives -6.87 eV/atom. Its space group is P2/c (13). Its calculated density is 12.8 Mg/m³.

```
Th4OsAu3
1.0
6.877 -0.239 0.000
-2.653 7.383 0.000
0.000 0.000 8.848
Au Os Th
6 2 8
Direct
0.750 0.000 0.380
0.250 0.000 0.620
0.750 0.500 0.624
0.750 0.500 0.122
0.250 0.500 0.376
0.250 0.500 0.878
0.750 0.000 0.870
0.250 0.000 0.130
0.987 0.236 0.641
0.501 0.221 0.887
0.487 0.236 0.359
0.001 0.221 0.113
0.999 0.779 0.887
0.513 0.764 0.641
0.499 0.779 0.113
0.013 0.764 0.359
```

***

No. 5
This record from Alexandria describes a relaxed structure of In2Sn3Pb2. The functional is PBE.

Computed properties:
As for the formation energy: 0.6 eV per formula unit. For the total energy, the calculation gives -3.47 eV/atom. Its space group is C2/m (12). Its calculated density is 7.6 Mg/m³.

```
In2Sn3Pb2
1.0
4.433 0.000 0.000
0.000 7.777 -0.032
-2.216 -2.540 6.309
In Sn Pb
2 3 2
Direct
0.819 0.655 0.638
0.181 0.345 0.362
0.000 0.500 0.000
0.227 0.833 0.453
0.773 0.167 0.547
0.537 0.821 0.074
0.463 0.179 0.926
```

***

No. 6
This record from Alexandria describes a relaxed structure of CdPbSe2O8. The functional is PBE.

Computed properties:
For the total energy, the calculation gives -5.12 eV/atom. Its space group is R-3 (148). Its calculated density is 5.7 Mg/m³. Its formation energy (no corrections) is -0.847 eV per atom.

```
CdPbSe2O8
1.0
5.184 0.000 0.000
2.592 4.489 0.000
2.592 1.496 7.527
Cd Pb Se O
1 1 2 8
Direct
0.000 0.000 0.000
0.500 0.500 0.500
0.249 0.249 0.253
0.751 0.751 0.747
0.175 0.175 0.476
0.569 0.293 0.187
0.825 0.825 0.524
0.951 0.569 0.187
0.049 0.431 0.813
0.293 0.951 0.187
0.707 0.049 0.813
0.431 0.707 0.813
```

***

No. 7
This record from Alexandria describes a relaxed structure of Ba2HfPt. The functional is PBE.

Computed properties:
As for the formation energy: 2.1 eV per formula unit. For the total energy, the calculation gives -4.43 eV/atom. Its space group is Fm-3m (225). Its calculated density is 8.6 Mg/m³.

```
Ba2HfPt
1.0
0.000 3.967 3.967
3.967 0.000 3.967
3.967 3.967 0.000
Hf Ba Pt
1 2 1
Direct
0.000 0.000 0.000
0.250 0.250 0.250
0.750 0.750 0.750
0.500 0.500 0.500
```

***

No. 8
This record from Alexandria describes a relaxed structure of Na2Er2HfTe6. The functional is PBE.

Computed properties:
For the total energy, the calculation gives -4.84 eV/atom. Its space group is C2/m (12). Its calculated density is 6.0 Mg/m³. Its formation energy (no corrections) is -1.149 eV per atom.

```
Na2Er2HfTe6
1.0
-2.462 -5.657 4.092
7.132 0.270 -1.965
0.024 5.752 5.666
Na Er Hf Te
2 2 1 6
Direct
0.829 0.171 0.000
0.171 0.829 0.000
0.332 0.668 0.500
0.668 0.332 0.500
0.000 0.000 0.500
0.757 0.757 0.723
0.080 0.397 0.726
0.243 0.243 0.277
0.397 0.080 0.726
0.920 0.603 0.274
0.603 0.920 0.274
```

***

No. 9
This record from Alexandria describes a relaxed structure of RbNa4Pt. The functional is PBE.

Computed properties:
As for the formation energy: -0.4 eV per formula unit. For the total energy, the calculation gives -2.12 eV/atom. Its space group is C2/m (12). Its calculated density is 2.5 Mg/m³.

```
RbNa4Pt
1.0
-4.635 -1.306 2.593
1.145 -7.950 -1.958
7.287 3.187 8.773
Rb Na Pt
2 8 2
Direct
0.215 0.215 0.429
0.785 0.785 0.571
0.877 0.378 0.757
0.587 0.353 0.171
0.000 0.193 0.000
0.413 0.182 0.829
0.123 0.622 0.243
0.413 0.647 0.829
0.000 0.807 0.000
0.587 0.818 0.171
0.747 0.500 0.000
0.253 0.500 0.000
```

***

No. 10
This record from Alexandria describes a relaxed structure of KErCdTe3. The functional is PBE.

Computed properties:
For the total energy, the calculation gives -3.71 eV/atom. Its space group is P2_1/m (11). Its calculated density is 5.3 Mg/m³. Its formation energy (no corrections) is -1.040 eV per atom.

```
KErCdTe3
1.0
-3.584 -0.194 -2.692
-1.332 -9.092 2.428
-5.539 6.113 6.934
K Er Cd Te
2 2 2 6
Direct
0.250 0.211 0.240
0.750 0.789 0.760
0.250 0.671 0.137
0.750 0.329 0.863
0.250 0.083 0.607
0.750 0.917 0.393
0.750 0.894 0.127
0.250 0.106 0.873
0.250 0.762 0.456
0.750 0.238 0.544
0.750 0.458 0.157
0.250 0.542 0.843
```

***

No. 11
This record from Alexandria describes a relaxed structure of Pa6Co2Ir. The functional is PBE.

Computed properties:
As for the formation energy: -2.0 eV per formula unit. For the total energy, the calculation gives -9.12 eV/atom. Its space group is Immm (71). Its calculated density is 15.1 Mg/m³.

```
Pa6Co2Ir
1.0
-3.215 4.699 5.621
-3.762 -6.242 -3.300
6.069 -3.831 3.536
Pa Co Ir
12 4 2
Direct
0.513 0.716 0.798
0.487 0.284 0.202
0.082 0.284 0.798
0.918 0.716 0.202
0.794 0.751 0.546
0.206 0.249 0.454
0.206 0.751 0.957
0.794 0.249 0.043
0.733 0.423 0.690
0.267 0.577 0.310
0.267 0.958 0.690
0.733 0.042 0.310
0.500 0.372 0.872
0.500 0.628 0.128
0.638 0.000 0.638
0.362 0.000 0.362
0.000 0.500 0.500
0.000 0.000 0.000
```

***

No. 12
This record from Alexandria describes a relaxed structure of Ac2SiO6. The functional is PBE.

Computed properties:
For the total energy, the calculation gives -7.45 eV/atom. Its space group is P-3m1 (164). Its calculated density is 8.5 Mg/m³. Its formation energy (no corrections) is -2.633 eV per atom.

```
Ac2SiO6
1.0
-0.007 4.253 -1.105
-4.440 0.792 3.071
0.527 1.368 5.256
Ac Si O
2 1 6
Direct
0.725 0.667 0.667
0.275 0.333 0.333
0.000 0.000 0.000
0.224 0.319 0.841
0.223 0.841 0.841
0.224 0.841 0.319
0.776 0.681 0.159
0.777 0.159 0.159
0.776 0.159 0.681
```

***

No. 13
This record from Alexandria describes a relaxed structure of LaTb2Sm. The functional is PBE.

Computed properties:
As for the formation energy: 0.1 eV per formula unit. For the total energy, the calculation gives -4.71 eV/atom. Its space group is R-3m (166). Its calculated density is 7.5 Mg/m³.

```
LaTb2Sm
1.0
-1.120 -3.373 -0.743
1.945 -2.110 -2.224
6.386 -5.882 8.203
Tb Sm La
2 1 1
Direct
0.249 0.249 0.253
0.751 0.751 0.747
0.500 0.500 0.500
0.000 0.000 0.000
```

***

No. 14
This record from Alexandria describes a relaxed structure of Pr2MgZn3Pt4. The functional is PBE.

Computed properties:
As for the formation energy: -7.9 eV per formula unit. For the total energy, the calculation gives -4.70 eV/atom. Its space group is P-4m2 (115). Its calculated density is 10.8 Mg/m³.

```
Pr2MgZn3Pt4
1.0
-2.304 -2.486 -2.431
-1.389 -2.015 3.377
-8.637 7.250 0.772
Pr Mg Zn Pt
2 1 3 4
Direct
0.500 0.000 0.237
0.000 0.500 0.763
0.500 0.500 0.500
0.000 0.000 0.500
0.500 0.000 0.870
0.000 0.500 0.130
0.500 0.500 0.000
0.000 0.000 0.000
0.500 0.000 0.647
0.000 0.500 0.353
```

***

No. 15
This record from Alexandria describes a relaxed structure of Li2YMn. The functional is PBE.

Computed properties:
As for the formation energy: 1.2 eV per formula unit. For the total energy, the calculation gives -4.57 eV/atom. Its space group is Pmmm (47). Its calculated density is 3.1 Mg/m³.

```
Li2YMn
1.0
3.483 0.000 0.000
0.000 4.668 0.000
0.000 0.000 5.144
Li Mn Y
2 1 1
Direct
0.000 0.000 0.000
0.500 0.500 0.000
0.500 0.000 0.500
0.000 0.500 0.500
```

***

No. 16
This record from Alexandria describes a relaxed structure of Sm2Th6Sc5. The functional is PBE.

Computed properties:
As for the formation energy: 1.9 eV per formula unit. For the total energy, the calculation gives -6.44 eV/atom. Its space group is Pbam (55). Its calculated density is 8.2 Mg/m³.

```
Sm2Th6Sc5
1.0
-0.430 -2.969 -1.710
9.479 -4.262 5.011
-10.892 -6.908 14.728
Sm Th Sc
4 12 10
Direct
0.000 0.341 0.280
0.000 0.659 0.720
0.000 0.841 0.220
0.000 0.159 0.780
0.000 0.070 0.366
0.000 0.930 0.634
0.000 0.570 0.134
0.000 0.430 0.866
0.500 0.306 0.114
0.500 0.694 0.886
0.500 0.806 0.386
0.500 0.194 0.614
0.000 0.559 0.423
0.000 0.441 0.577
0.000 0.059 0.077
0.000 0.941 0.923
0.500 0.297 0.445
0.500 0.703 0.555
0.500 0.797 0.055
0.500 0.203 0.945
0.500 0.598 0.276
0.500 0.402 0.724
0.500 0.098 0.224
0.500 0.902 0.776
0.500 0.500 0.000
0.500 0.000 0.500
```

***

No. 17
This record from Alexandria describes a relaxed structure of InPtRh2. The functional is PBE.

Computed properties:
As for the formation energy: -0.9 eV per formula unit. For the total energy, the calculation gives -6.09 eV/atom. Its space group is F222 (22). Its calculated density is 13.4 Mg/m³.

```
InPtRh2
1.0
4.860 -0.007 -0.014
1.544 4.608 0.012
-3.194 -2.312 2.846
Rh Pt In
2 1 1
Direct
0.000 0.000 0.000
0.750 0.250 0.500
0.250 0.750 0.500
0.500 0.500 0.000
```

***

No. 18
This record from Alexandria describes a relaxed structure of La4CoMo. The functional is PBE.

Computed properties:
As for the formation energy: 6.9 eV per formula unit. For the total energy, the calculation gives -5.13 eV/atom. Its space group is F-43m (216). Its calculated density is 6.9 Mg/m³.

```
La4CoMo
1.0
0.000 4.399 4.399
4.399 0.000 4.399
4.399 4.399 0.000
La Co Mo
4 1 1
Direct
0.876 0.375 0.375
0.375 0.375 0.876
0.375 0.876 0.375
0.375 0.375 0.375
0.000 0.000 0.000
0.750 0.750 0.750
```

***

No. 19
This record from Alexandria describes a relaxed structure of Ba2AgAs. The functional is PBE.

Computed properties:
As for the formation energy: -2.3 eV per formula unit. For the total energy, the calculation gives -3.42 eV/atom. Its space group is P4/mmm (123). Its calculated density is 4.8 Mg/m³.

```
Ba2AgAs
1.0
-0.228 3.119 -3.697
-0.245 -3.704 -3.110
-6.735 0.057 0.463
As Ba Ag
1 2 1
Direct
0.500 0.500 0.875
0.000 0.000 0.875
0.500 0.500 0.375
0.000 0.000 0.375
```

***

No. 20
This record from Alexandria describes a relaxed structure of Dy5Ho4Er3. The functional is PBE.

Computed properties:
As for the formation energy: 3.0 eV per formula unit. For the total energy, the calculation gives -4.34 eV/atom. Its space group is C2/m (12). Its calculated density is 8.6 Mg/m³.

```
Dy5Ho4Er3
1.0
-4.188 0.528 3.996
-7.621 -0.481 -3.696
0.572 -7.509 5.818
Dy Ho Er
5 4 3
Direct
0.627 0.947 0.799
0.500 0.500 0.500
0.213 0.461 0.114
0.787 0.539 0.886
0.373 0.053 0.201
0.859 0.221 0.060
0.164 0.050 0.622
0.836 0.950 0.378
0.141 0.779 0.940
0.522 0.688 0.269
0.000 0.500 0.500
0.478 0.312 0.731
```